Below is a relaxed Sb2MoIBr crystal, with properties calculated at the PBE-GGA level.

The structure in POSCAR format:
```
Sb2MoIBr
1.0
5.260 0.000 0.000
0.000 5.260 0.000
0.000 0.000 5.472
Sb Mo I Br
2 1 1 1
direct
0.000 0.500 0.000 Sb
0.500 0.000 0.000 Sb
0.000 0.000 0.000 Mo
0.000 0.000 0.500 I
0.500 0.500 0.500 Br
```

Energy above the most stable polymorph in this dataset   0.0 meV per atom
Energy   -4.15 eV/atom

***

Below is a relaxed CaTh3P4 crystal, with properties calculated at the PBE-GGA level.

The structure in POSCAR format:
```
CaTh3P4
1.0
-3.663 -1.466 -1.293
2.337 0.145 -6.785
1.520 -6.376 2.926
P Th Ca
4 3 1
direct
0.500 0.749 0.251 P
0.500 0.251 0.749 P
0.000 0.254 0.254 P
0.000 0.746 0.746 P
0.500 0.500 0.500 Th
0.000 0.000 0.500 Th
0.000 0.500 0.000 Th
0.500 0.000 0.000 Ca
```

Formation energy   -1480 meV/atom
Energy   -7.22 eV/atom

***

Below is a relaxed NaPmPrBi crystal, with properties calculated at the PBE-GGA level.

The structure in POSCAR format:
```
NaPmPrBi
1.0
5.555 0.000 0.000
2.777 4.811 0.000
2.777 1.604 4.535
Pr Na Bi Pm
1 1 1 1
direct
0.250 0.250 0.250 Pr
0.000 0.000 0.000 Na
0.500 0.500 0.500 Bi
0.750 0.750 0.750 Pm
```

Formation energy   -294 meV/atom
Energy   -3.98 eV/atom

***

Below is a relaxed BaLiRe2 crystal, with properties calculated at the PBE-GGA level.

The structure in POSCAR format:
```
BaLiRe2
1.0
5.890 0.002 0.002
5.167 2.827 0.002
1.110 0.284 4.524
Re Li Ba
2 1 1
direct
0.525 0.525 0.463 Re
0.975 0.975 0.037 Re
0.250 0.250 0.250 Li
0.750 0.750 0.750 Ba
```

Formation energy   952 meV/atom
Energy above the most stable polymorph in this dataset   441.2 meV per atom
Energy   -6.23 eV/atom

***

Below is a relaxed CaEr5Al3 crystal, with properties calculated at the PBE-GGA level.

The structure in POSCAR format:
```
CaEr5Al3
1.0
-5.732 -2.429 -2.209
1.239 -7.442 4.972
-4.358 7.099 3.502
Er Al Ca
10 6 2
direct
0.000 0.667 0.333 Er
0.750 0.000 0.332 Er
0.750 0.332 0.000 Er
0.750 0.668 0.668 Er
0.500 0.667 0.333 Er
0.250 0.332 0.332 Er
0.250 0.668 0.000 Er
0.250 0.000 0.668 Er
0.500 0.333 0.667 Er
0.000 0.333 0.667 Er
0.250 0.338 0.000 Al
0.250 0.000 0.338 Al
0.750 0.000 0.662 Al
0.750 0.338 0.338 Al
0.750 0.662 0.000 Al
0.250 0.662 0.662 Al
0.000 0.000 0.000 Ca
0.500 0.000 0.000 Ca
```

Formation energy   -260 meV/atom
Energy   -4.26 eV/atom

***

Below is a relaxed PmDy3Mg crystal, with properties calculated at the PBE-GGA level.

The structure in POSCAR format:
```
PmDy3Mg
1.0
5.753 0.000 0.000
0.000 8.080 0.000
0.000 -4.040 6.997
Dy Pm Mg
6 2 2
direct
0.250 0.389 0.194 Dy
0.750 0.194 0.389 Dy
0.250 0.806 0.194 Dy
0.750 0.194 0.806 Dy
0.750 0.611 0.806 Dy
0.250 0.806 0.611 Dy
0.250 0.333 0.667 Pm
0.750 0.667 0.333 Pm
0.500 0.000 0.000 Mg
0.000 0.000 0.000 Mg
```

Formation energy   212 meV/atom
Energy above the most stable polymorph in this dataset   228.1 meV per atom
Energy   -3.82 eV/atom